Entry 1:
Material: HfRe3Au
Method: DFT, GGA-PBEsol
State: optimized geometry

Cell: 4.7118 4.7118 4.7118 Å, 90.00 90.00 90.00°
Last column: nearest neighbours and their distance in Å.
Space group Pm-3m (No. 221)
Symmetry-distinct sites (fractional):
Hf1 0.0000 0.0000 0.0000 x1  12 Re 3.33
Re1 0.0000 0.5000 0.5000 x3  2 Au 2.36
Au1 0.5000 0.5000 0.5000 x1  6 Re 2.36

Total energy, Ry/atom: -0.6127
DOS at the Fermi energy, states/eV per cell: 10.990
ΔE_f, eV/f.u.: 12.7

Entry 2:
Material: Hf3ReAu
Method: DFT, GGA-PBEsol
State: optimized geometry

Cell: 4.9207 4.9207 4.9207 Å, 90.00 90.00 90.00°
Last column: nearest neighbours and their distance in Å.
Space group Pm-3m (No. 221)
Symmetry-distinct sites (fractional):
Hf1 0.0000 0.0000 0.5000 x3  2 Au 2.46
Re1 0.5000 0.5000 0.5000 x1  12 Hf 3.48
Au1 0.0000 0.0000 0.0000 x1  6 Hf 2.46

Total energy, Ry/atom: -0.6157
DOS at the Fermi energy, states/eV per cell: 6.552
ΔE_f, eV/f.u.: 6.9

Entry 3:
Material: HfZrReAu2
Method: DFT, GGA-PBEsol
State: optimized geometry

Cell: 4.9827 4.9827 4.6972 Å, 90.00 90.00 90.00°
Last column: nearest neighbours and their distance in Å.
Space group P4/mmm (No. 123)
Symmetry-distinct sites (fractional):
Hf1 0.0000 0.0000 0.0000 x1  2 Re 2.35
Zr1 0.5000 0.5000 0.0000 x1  8 Au 3.42, 4 Hf 3.52
Re1 0.0000 0.0000 0.5000 x1  2 Hf 2.35, 4 Au 2.49
Au1 0.0000 0.5000 0.5000 x2  2 Re 2.49

Total energy, Ry/atom: -0.5237
DOS at the Fermi energy, states/eV per cell: 6.764
ΔE_f, eV/f.u.: 5.1

Entry 4:
Material: Hf3RuAu
Method: DFT, GGA-PBEsol
State: optimized geometry

Cell: 4.9484 4.9484 4.9484 Å, 90.00 90.00 90.00°
Last column: nearest neighbours and their distance in Å.
Space group Pm-3m (No. 221)
Symmetry-distinct sites (fractional):
Hf1 0.0000 0.0000 0.5000 x3  2 Au 2.47
Ru1 0.5000 0.5000 0.5000 x1  12 Hf 3.50
Au1 0.0000 0.0000 0.0000 x1  6 Hf 2.47

Total energy, Ry/atom: -0.5827
DOS at the Fermi energy, states/eV per cell: 7.725
ΔE_f, eV/f.u.: 6.0

Entry 5:
Material: HfSb2TeAu
Method: DFT, GGA-PBEsol
State: optimized geometry

Cell: 5.4111 5.4111 5.3192 Å, 90.00 90.00 90.00°
Last column: nearest neighbours and their distance in Å.
Space group P4/mmm (No. 123)
Symmetry-distinct sites (fractional):
Hf1 0.0000 0.0000 0.0000 x1  2 Te 2.66, 4 Sb 2.71
Sb1 0.0000 0.5000 0.0000 x2  2 Hf 2.71
Te1 0.0000 0.0000 0.5000 x1  2 Hf 2.66
Au1 0.5000 0.5000 0.5000 x1  8 Sb 3.79, 4 Te 3.83

Total energy, Ry/atom: -0.3610
Raw formation energy, eV per atom: 0.50
DOS at the Fermi energy, states/eV per cell: 3.727

Entry 6:
Material: HfZrScAu2
Method: DFT, GGA-PBEsol
State: optimized geometry

Cell: 4.9841 4.9841 4.8801 Å, 90.00 90.00 90.00°
Last column: nearest neighbours and their distance in Å.
Space group P4/mmm (No. 123)
Symmetry-distinct sites (fractional):
Hf1 0.0000 0.0000 0.0000 x1  2 Sc 2.44, 4 Au 2.49
Zr1 0.5000 0.5000 0.5000 x1  8 Au 3.49, 4 Sc 3.52
Sc1 0.0000 0.0000 0.5000 x1  2 Hf 2.44
Au1 0.0000 0.5000 0.0000 x2  2 Hf 2.49

Total energy, Ry/atom: -0.4441
DOS at the Fermi energy, states/eV per cell: 3.829
ΔE_f, eV/f.u.: 3.8

Please write out number 6 again, unchanged.
Material: HfZrScAu2
Method: DFT, GGA-PBEsol
State: optimized geometry

Cell: 4.9841 4.9841 4.8801 Å, 90.00 90.00 90.00°
Last column: nearest neighbours and their distance in Å.
Space group P4/mmm (No. 123)
Symmetry-distinct sites (fractional):
Hf1 0.0000 0.0000 0.0000 x1  2 Sc 2.44, 4 Au 2.49
Zr1 0.5000 0.5000 0.5000 x1  8 Au 3.49, 4 Sc 3.52
Sc1 0.0000 0.0000 0.5000 x1  2 Hf 2.44
Au1 0.0000 0.5000 0.0000 x2  2 Hf 2.49

Total energy, Ry/atom: -0.4441
DOS at the Fermi energy, states/eV per cell: 3.829
ΔE_f, eV/f.u.: 3.8

> Among the records above, which one has the highest DOS at the Fermi energy?

HfRe3Au